Entry 1:
Entry from the Alexandria database: crystalline RuRhSe3 at its relaxed geometry (GGA-PBE).

Formation energy without anion corrections (kJ/mol of formula units): 415
Crystal system: cubic
ΔE to the lowest computed polymorph (eV per atom): 0.000

```
data_RuRhSe3
_chemical_formula_sum 'Ru1 Rh1 Se3'
_cell_length_a 4.802
_cell_length_b 4.802
_cell_length_c 4.802
_cell_angle_alpha 90.00
_cell_angle_beta 90.00
_cell_angle_gamma 90.00
_space_group_name_H-M_alt 'P m -3 m'
_space_group_IT_number 221
_space_group_name_Hall '-P 4 2 3'
loop_
_atom_site_label
_atom_site_fract_x
_atom_site_fract_y
_atom_site_fract_z
_atom_site_occupancy
Ru1 0.000 0.000 0.000 1
Rh1 0.500 0.500 0.500 1
Se1 0.000 0.000 0.500 1
```

Entry 2:
Entry from the Alexandria database: crystalline Pr7PS5 at its relaxed geometry (GGA-PBE).

Formation energy without anion corrections (kJ/mol of formula units): -2211
Crystal system: monoclinic

```
data_Pr7PS5
_chemical_formula_sum 'Pr28 P4 S20'
_cell_length_a 13.495
_cell_length_b 4.061
_cell_length_c 24.194
_cell_angle_alpha 90.00
_cell_angle_beta 90.11
_cell_angle_gamma 90.00
_space_group_name_H-M_alt 'C 1 m 1'
_space_group_IT_number 8
_space_group_name_Hall 'C -2y'
loop_
_atom_site_label
_atom_site_fract_x
_atom_site_fract_y
_atom_site_fract_z
_atom_site_occupancy
Pr1 0.000 0.000 0.000 1
Pr2 0.000 0.000 0.140 1
Pr3 0.055 0.500 0.858 1
Pr4 0.056 0.500 0.282 1
Pr5 0.103 0.000 0.705 1
Pr6 0.105 0.000 0.434 1
Pr7 0.159 0.500 0.570 1
Pr8 0.227 0.500 0.070 1
Pr9 0.283 0.000 0.206 1
Pr10 0.283 0.000 0.934 1
Pr11 0.331 0.500 0.782 1
Pr12 0.332 0.500 0.358 1
Pr13 0.386 0.000 0.640 1
Pr14 0.387 0.000 0.500 1
P1 0.004 0.000 0.572 1
P2 0.382 0.000 0.069 1
S1 0.141 0.500 0.176 1
S2 0.141 0.500 0.964 1
S3 0.193 0.000 0.820 1
S4 0.194 0.000 0.320 1
S5 0.245 0.500 0.676 1
S6 0.247 0.500 0.464 1
S7 0.417 0.500 0.248 1
S8 0.417 0.500 0.892 1
S9 0.469 0.000 0.748 1
S10 0.470 0.000 0.392 1
```

Entry 3:
Entry from the Alexandria database: crystalline YCoI2 at its relaxed geometry (GGA-PBE).

Formation energy without anion corrections (kJ/mol of formula units): 0
Crystal system: tetragonal
ΔE to the lowest computed polymorph (eV per atom): 0.000

```
data_YCoI2
_chemical_formula_sum 'Y4 Co4 I8'
_cell_length_a 6.442
_cell_length_b 6.442
_cell_length_c 11.784
_cell_angle_alpha 90.00
_cell_angle_beta 90.00
_cell_angle_gamma 90.00
_space_group_name_H-M_alt 'I -4 2 d'
_space_group_IT_number 122
_space_group_name_Hall 'I -4 2bw'
loop_
_atom_site_label
_atom_site_fract_x
_atom_site_fract_y
_atom_site_fract_z
_atom_site_occupancy
Y1 0.000 0.000 0.000 1
Co1 0.000 0.000 0.500 1
I1 0.184 0.250 0.625 1
```

Entry 4:
Entry from the Alexandria database: crystalline Pm2SnSb at its relaxed geometry (GGA-PBE).

Formation energy without anion corrections (kJ/mol of formula units): -298
Crystal system: tetragonal
ΔE to the lowest computed polymorph (eV per atom): 0.206

```
data_Pm2SnSb
_chemical_formula_sum 'Pm2 Sn1 Sb1'
_cell_length_a 4.098
_cell_length_b 4.098
_cell_length_c 6.838
_cell_angle_alpha 90.00
_cell_angle_beta 90.00
_cell_angle_gamma 90.00
_space_group_name_H-M_alt 'P 4/m m m'
_space_group_IT_number 123
_space_group_name_Hall '-P 4 2'
loop_
_atom_site_label
_atom_site_fract_x
_atom_site_fract_y
_atom_site_fract_z
_atom_site_occupancy
Pm1 0.000 0.000 0.248 1
Sn1 0.500 0.500 0.500 1
Sb1 0.500 0.500 0.000 1
```

Entry 5:
Entry from the Alexandria database: crystalline Fe2SbSe at its relaxed geometry (GGA-PBE).

Formation energy without anion corrections (kJ/mol of formula units): 93
Crystal system: trigonal
ΔE to the lowest computed polymorph (eV per atom): 0.276

```
data_Fe2SbSe
_chemical_formula_sum 'Fe6 Sb3 Se3'
_cell_length_a 3.4224
_cell_length_b 3.4224
_cell_length_c 20.6574
_cell_angle_alpha 90.00
_cell_angle_beta 90.00
_cell_angle_gamma 120.00
_space_group_name_H-M_alt 'R -3 m'
_space_group_IT_number 166
_space_group_name_Hall '-R 3 2"'
loop_
_atom_site_label
_atom_site_fract_x
_atom_site_fract_y
_atom_site_fract_z
_atom_site_occupancy
Fe1 0.0000 0.0000 0.2408 1
Sb1 0.0000 0.0000 0.0000 1
Se1 0.0000 0.0000 0.5000 1
```

Entry 6:
Entry from the Alexandria database: crystalline Mg6CdRh5 at its relaxed geometry (GGA-PBE).

Crystal system: monoclinic
ΔH_f (0 K) (eV/atom): -0.461

```
data_Mg6CdRh5
_chemical_formula_sum 'Mg6 Cd1 Rh5'
_cell_length_a 4.449
_cell_length_b 6.387
_cell_length_c 7.058
_cell_angle_alpha 90.00
_cell_angle_beta 108.49
_cell_angle_gamma 90.00
_space_group_name_H-M_alt 'P 1 2/m 1'
_space_group_IT_number 10
_space_group_name_Hall '-P 2y'
loop_
_atom_site_label
_atom_site_fract_x
_atom_site_fract_y
_atom_site_fract_z
_atom_site_occupancy
Mg1 0.000 0.229 0.000 1
Mg2 0.327 0.241 0.651 1
Cd1 0.500 0.500 0.000 1
Rh1 0.158 0.500 0.318 1
Rh2 0.163 0.000 0.328 1
Rh3 0.500 0.000 0.000 1
```

Entry 7:
Entry from the Alexandria database: crystalline HfAgPb2 at its relaxed geometry (GGA-PBE).

Crystal system: cubic
ΔH_f (0 K) (eV/atom): 0.330
ΔE to the lowest computed polymorph (eV per atom): 0.218

```
data_HfAgPb2
_chemical_formula_sum 'Hf4 Ag4 Pb8'
_cell_length_a 7.303
_cell_length_b 7.303
_cell_length_c 7.303
_cell_angle_alpha 90.00
_cell_angle_beta 90.00
_cell_angle_gamma 90.00
_space_group_name_H-M_alt 'F m -3 m'
_space_group_IT_number 225
_space_group_name_Hall '-F 4 2 3'
loop_
_atom_site_label
_atom_site_fract_x
_atom_site_fract_y
_atom_site_fract_z
_atom_site_occupancy
Hf1 0.000 0.000 0.000 1
Ag1 0.000 0.000 0.500 1
Pb1 0.250 0.250 0.250 1
```

Entry 8:
Entry from the Alexandria database: crystalline Ac8P3I4N at its relaxed geometry (GGA-PBE).

Formation energy without anion corrections (kJ/mol of formula units): -1916
Crystal system: trigonal

```
data_Ac8P3I4N
_chemical_formula_sum 'Ac24 P9 I12 N3'
_cell_length_a 8.6864
_cell_length_b 8.6864
_cell_length_c 24.5525
_cell_angle_alpha 90.00
_cell_angle_beta 90.00
_cell_angle_gamma 120.00
_space_group_name_H-M_alt 'R -3 m'
_space_group_IT_number 166
_space_group_name_Hall '-R 3 2"'
loop_
_atom_site_label
_atom_site_fract_x
_atom_site_fract_y
_atom_site_fract_z
_atom_site_occupancy
Ac1 0.0000 0.0000 0.2316 1
Ac2 0.0260 0.5130 0.2284 1
P1 0.0000 0.5000 0.5000 1
I1 0.0000 0.0000 0.0000 1
I2 0.0000 0.5000 0.0000 1
N1 0.0000 0.0000 0.5000 1
```

Entry 9:
Entry from the Alexandria database: crystalline TaReIr at its relaxed geometry (GGA-PBE).

Crystal system: orthorhombic
ΔH_f (0 K) (eV/atom): -0.173
ΔE to the lowest computed polymorph (eV per atom): 0.106

```
data_TaReIr
_chemical_formula_sum 'Ta2 Re2 Ir2'
_cell_length_a 2.776
_cell_length_b 3.959
_cell_length_c 8.651
_cell_angle_alpha 90.00
_cell_angle_beta 90.00
_cell_angle_gamma 90.00
_space_group_name_H-M_alt 'I m m 2'
_space_group_IT_number 44
_space_group_name_Hall 'I 2 -2'
loop_
_atom_site_label
_atom_site_fract_x
_atom_site_fract_y
_atom_site_fract_z
_atom_site_occupancy
Ta1 0.000 0.000 0.000 1
Re1 0.000 0.000 0.328 1
Ir1 0.000 0.000 0.672 1
```

Entry 10:
Entry from the Alexandria database: crystalline PuPb3 at its relaxed geometry (GGA-PBE).

Crystal system: orthorhombic
ΔH_f (0 K) (eV/atom): -0.040

```
data_PuPb3
_chemical_formula_sum 'Pu1 Pb3'
_cell_length_a 3.486
_cell_length_b 5.695
_cell_length_c 5.933
_cell_angle_alpha 90.00
_cell_angle_beta 90.00
_cell_angle_gamma 90.00
_space_group_name_H-M_alt 'P m m 2'
_space_group_IT_number 25
_space_group_name_Hall 'P 2 -2'
loop_
_atom_site_label
_atom_site_fract_x
_atom_site_fract_y
_atom_site_fract_z
_atom_site_occupancy
Pu1 0.000 0.000 0.000 1
Pb1 0.000 0.500 0.347 1
Pb2 0.500 0.000 0.501 1
Pb3 0.500 0.500 0.850 1
```

Entry 11:
Entry from the Alexandria database: crystalline ZrSiRh3 at its relaxed geometry (GGA-PBE).

Formation energy without anion corrections (kJ/mol of formula units): -155
Crystal system: cubic
ΔE to the lowest computed polymorph (eV per atom): 0.000

```
data_ZrSiRh3
_chemical_formula_sum 'Zr1 Si1 Rh3'
_cell_length_a 4.406
_cell_length_b 4.406
_cell_length_c 4.406
_cell_angle_alpha 90.00
_cell_angle_beta 90.00
_cell_angle_gamma 90.00
_space_group_name_H-M_alt 'P m -3 m'
_space_group_IT_number 221
_space_group_name_Hall '-P 4 2 3'
loop_
_atom_site_label
_atom_site_fract_x
_atom_site_fract_y
_atom_site_fract_z
_atom_site_occupancy
Zr1 0.000 0.000 0.000 1
Si1 0.500 0.500 0.500 1
Rh1 0.000 0.500 0.500 1
```

Entry 12:
Entry from the Alexandria database: crystalline BiBWCl2 at its relaxed geometry (GGA-PBE).

Formation energy without anion corrections (kJ/mol of formula units): 896
Crystal system: tetragonal

```
data_BiBWCl2
_chemical_formula_sum 'Bi1 B1 W1 Cl2'
_cell_length_a 5.386
_cell_length_b 5.386
_cell_length_c 5.739
_cell_angle_alpha 90.00
_cell_angle_beta 90.00
_cell_angle_gamma 90.00
_space_group_name_H-M_alt 'P 4/m m m'
_space_group_IT_number 123
_space_group_name_Hall '-P 4 2'
loop_
_atom_site_label
_atom_site_fract_x
_atom_site_fract_y
_atom_site_fract_z
_atom_site_occupancy
Bi1 0.000 0.000 0.000 1
B1 0.500 0.500 0.500 1
W1 0.000 0.000 0.500 1
Cl1 0.000 0.500 0.000 1
```

Entry 13:
Entry from the Alexandria database: crystalline Ce2BePt at its relaxed geometry (GGA-PBE).

Crystal system: trigonal
ΔH_f (0 K) (eV/atom): 0.317

```
data_Ce2BePt
_chemical_formula_sum 'Ce6 Be3 Pt3'
_cell_length_a 2.9145
_cell_length_b 2.9145
_cell_length_c 33.0831
_cell_angle_alpha 90.00
_cell_angle_beta 90.00
_cell_angle_gamma 120.00
_space_group_name_H-M_alt 'R -3 m'
_space_group_IT_number 166
_space_group_name_Hall '-R 3 2"'
loop_
_atom_site_label
_atom_site_fract_x
_atom_site_fract_y
_atom_site_fract_z
_atom_site_occupancy
Ce1 0.0000 0.0000 0.0889 1
Be1 0.0000 0.0000 0.0000 1
Pt1 0.0000 0.0000 0.5000 1
```

M_tot? In order: 1.3; 0.0; 0.0; 0.0; 5.1; 0.0; 0.0; 0.0; 0.0; 6.0; 0.0; 4.0; 0.0 μB per formula unit.
Total energy? In order: -4.555; -6.340; -4.168; -5.179; -5.892; -4.398; -4.726; -5.217; -11.226; -6.405; -7.527; -3.584; -5.091 eV per atom.
N(E_F)? In order: 8.233; 25.541; 18.939; 4.135; 19.641; 4.420; 26.429; 23.769; 4.961; 11.677; 22.083; 1.950; 21.028 states/eV per cell.